# Ga3PdF

A geometry-optimized Ga3PdF structure (GGA-PBE, the Alexandria database).

## Properties
E_form (uncorrected): -0.326 eV/atom
Total magnetization: 0.0 μB per cell
Polymorph energy (0 for the lowest one): 0.293 eV/atom

Lattice parameters (Å, degrees): 4.5259 4.5259 4.5259 90.00 90.00 90.00
Last column: nearest neighbours and their distance in Å.
Space group Pm-3m (No. 221)
Inequivalent atoms, fractional coordinates:
Ga 0.0000 0.0000 0.5000 [3 per cell]  2 F 2.26
Pd 0.5000 0.5000 0.5000 [1 per cell]  12 Ga 3.20
F 0.0000 0.0000 0.0000 [1 per cell]  6 Ga 2.26